Material: Al2GaH6
Method: DFT, PBE
State: relaxed

## Properties
SG: C2/c (15)
Energy above the lowest structure with this stoichiometry, meV per atom: 0
Theoretical density, Mg/m³: 1.897

Cell: 7.448 7.448 4.619 Å, 93.40 93.40 62.68°
Fractional coordinates of all 18 atoms:
Al1 0.165 0.327 0.499
Al2 0.327 0.165 0.999
Al3 0.673 0.835 0.001
Al4 0.835 0.673 0.501
Ga1 0.424 0.576 0.750
Ga2 0.576 0.424 0.250
H1 0.081 0.574 0.657
H2 0.097 0.244 0.803
H3 0.244 0.097 0.303
H4 0.252 0.396 0.194
H5 0.396 0.252 0.694
H6 0.426 0.919 0.843
H7 0.574 0.081 0.157
H8 0.604 0.748 0.306
H9 0.748 0.604 0.806
H10 0.756 0.903 0.697
H11 0.903 0.756 0.197
H12 0.919 0.426 0.343